(1)
The following is a GGA-PBE calculation of a relaxed LiRhBr2 crystal, from the Alexandria database.

a = 3.631 Å, b = 3.633 Å, c = 7.593 Å
α = 90.00°, β = 90.00°, γ = 90.00°
Element x y z (fractional)
Li 0.000 0.000 0.000
Rh 0.500 0.000 0.500
Br 0.000 0.500 0.500
Br 0.500 0.500 0.000

Values from the calculation:
The energy relative to the lowest polymorph listed for this composition is 231 meV per atom. The value obtained for the calculated total energy is -3.49 eV/atom.

=====

(2)
The following is a GGA-PBE calculation of a relaxed LiRhBr2 crystal, from the Alexandria database.

a = 3.811 Å, b = 5.357 Å, c = 3.811 Å
α = 90.00°, β = 90.00°, γ = 90.00°
Element x y z (fractional)
Li 0.000 0.000 0.000
Rh 0.491 0.500 0.506
Br 0.497 0.000 0.502
Br 0.991 0.500 0.006

Values from the calculation:
The energy relative to the lowest polymorph listed for this composition is 65 meV per atom. The value obtained for the calculated total energy is -3.66 eV/atom.

=====

(3)
The following is a GGA-PBE calculation of a relaxed LiRhBr2 crystal, from the Alexandria database.

a = 7.882 Å, b = 7.882 Å, c = 7.882 Å
α = 28.85°, β = 28.85°, γ = 28.85°
Element x y z (fractional)
Li 0.000 0.000 0.000
Rh 0.777 0.777 0.777
Br 0.299 0.299 0.299
Br 0.484 0.484 0.484

Values from the calculation:
The energy relative to the lowest polymorph listed for this composition is 193 meV per atom. The value obtained for the calculated total energy is -3.53 eV/atom.

=====

(4)
The following is a GGA-PBE calculation of a relaxed LiRhBr crystal, from the Alexandria database.

a = 6.580 Å, b = 6.207 Å, c = 3.224 Å
α = 81.91°, β = 69.07°, γ = 29.02°
Element x y z (fractional)
Li 0.000 0.000 0.000
Rh 0.675 0.675 0.325
Br 0.340 0.340 0.660

Values from the calculation:
The energy relative to the lowest polymorph listed for this composition is 245 meV per atom. The value obtained for the calculated total energy is -3.49 eV/atom.

=====

The energy relative to the elements, uncorrected results, record by record, are as follows: -0.338; -0.504; -0.376; 0.157 eV/atom.